Record 1
LuNbSn4: relaxed, PBE-GGA.

a b c (Å): 8.9004 9.3319 4.7597
angles (deg): 90.00 90.00 90.00
Fractional coordinates of all 12 atoms:
Lu 0.0000 0.0000 0.0000
Lu 0.5000 0.5000 0.0000
Nb 0.0000 0.5000 0.5000
Nb 0.5000 0.0000 0.5000
Sn 0.0000 0.2121 0.5000
Sn 0.0000 0.7879 0.5000
Sn 0.1672 0.5000 0.0000
Sn 0.3328 0.0000 0.0000
Sn 0.5000 0.2879 0.5000
Sn 0.5000 0.7121 0.5000
Sn 0.6672 0.0000 0.0000
Sn 0.8328 0.5000 0.0000

Output
**Calculated total energy**: -4.631 eV/atom
**Size of the total moment**: 0.01 μB/f.u.


Record 2
Lu2NbSn: relaxed, PBE-GGA.

a b c (Å): 7.1351 7.1351 7.1351
angles (deg): 90.00 90.00 90.00
Fractional coordinates of all 16 atoms:
Lu 0.0000 0.0000 0.0000
Lu 0.0000 0.5000 0.5000
Lu 0.2500 0.2500 0.2500
Lu 0.2500 0.7500 0.7500
Lu 0.5000 0.0000 0.5000
Lu 0.5000 0.5000 0.0000
Lu 0.7500 0.2500 0.7500
Lu 0.7500 0.7500 0.2500
Nb 0.2500 0.2500 0.7500
Nb 0.2500 0.7500 0.2500
Nb 0.7500 0.2500 0.2500
Nb 0.7500 0.7500 0.7500
Sn 0.0000 0.0000 0.5000
Sn 0.0000 0.5000 0.0000
Sn 0.5000 0.0000 0.0000
Sn 0.5000 0.5000 0.5000

Output
**Calculated total energy**: -5.789 eV/atom
**Size of the total moment**: 1.08 μB/f.u.


Record 3
SrLuNb2: relaxed, PBE-GGA.

a b c (Å): 7.2517 7.2517 7.2517
angles (deg): 90.00 90.00 90.00
Fractional coordinates of all 16 atoms:
Sr 0.0000 0.0000 0.0000
Sr 0.0000 0.5000 0.5000
Sr 0.5000 0.0000 0.5000
Sr 0.5000 0.5000 0.0000
Lu 0.2500 0.2500 0.2500
Lu 0.2500 0.7500 0.7500
Lu 0.7500 0.2500 0.7500
Lu 0.7500 0.7500 0.2500
Nb 0.0000 0.0000 0.5000
Nb 0.0000 0.5000 0.0000
Nb 0.2500 0.2500 0.7500
Nb 0.2500 0.7500 0.2500
Nb 0.5000 0.0000 0.0000
Nb 0.5000 0.5000 0.5000
Nb 0.7500 0.2500 0.2500
Nb 0.7500 0.7500 0.7500

Output
**Calculated total energy**: -5.886 eV/atom
**Size of the total moment**: 0.01 μB/f.u.


Record 4
Sr2LuNb: relaxed, PBE-GGA.

a b c (Å): 8.0369 8.0369 8.0369
angles (deg): 90.00 90.00 90.00
Fractional coordinates of all 16 atoms:
Sr 0.0000 0.0000 0.0000
Sr 0.0000 0.5000 0.5000
Sr 0.2500 0.2500 0.2500
Sr 0.2500 0.7500 0.7500
Sr 0.5000 0.0000 0.5000
Sr 0.5000 0.5000 0.0000
Sr 0.7500 0.2500 0.7500
Sr 0.7500 0.7500 0.2500
Lu 0.2500 0.2500 0.7500
Lu 0.2500 0.7500 0.2500
Lu 0.7500 0.2500 0.2500
Lu 0.7500 0.7500 0.7500
Nb 0.0000 0.0000 0.5000
Nb 0.0000 0.5000 0.0000
Nb 0.5000 0.0000 0.0000
Nb 0.5000 0.5000 0.5000

Output
**Calculated total energy**: -3.804 eV/atom
**Size of the total moment**: 2.92 μB/f.u.


Record 5
TbLuNb: relaxed, PBE-GGA.

a b c (Å): 7.1102 7.1102 7.1102
angles (deg): 90.00 90.00 90.00
Fractional coordinates of all 12 atoms:
Tb 0.0000 0.0000 0.0000
Tb 0.0000 0.5000 0.5000
Tb 0.5000 0.0000 0.5000
Tb 0.5000 0.5000 0.0000
Lu 0.0000 0.0000 0.5000
Lu 0.0000 0.5000 0.0000
Lu 0.5000 0.0000 0.0000
Lu 0.5000 0.5000 0.5000
Nb 0.2500 0.2500 0.7500
Nb 0.2500 0.7500 0.2500
Nb 0.7500 0.2500 0.2500
Nb 0.7500 0.7500 0.7500

Output
**Relative energy among the computed polymorphs**: 0.00 eV/f.u.
**Formation enthalpy at 0 K**: 2.385 eV per formula unit
**Size of the total moment**: 2.07 μB/f.u.


Record 6
LuNb2Te: relaxed, PBE-GGA.

a b c (Å): 6.9199 6.9199 6.9199
angles (deg): 90.00 90.00 90.00
Fractional coordinates of all 16 atoms:
Lu 0.0000 0.0000 0.0000
Lu 0.0000 0.5000 0.5000
Lu 0.5000 0.0000 0.5000
Lu 0.5000 0.5000 0.0000
Nb 0.0000 0.0000 0.5000
Nb 0.0000 0.5000 0.0000
Nb 0.2500 0.2500 0.2500
Nb 0.2500 0.7500 0.7500
Nb 0.5000 0.0000 0.0000
Nb 0.5000 0.5000 0.5000
Nb 0.7500 0.2500 0.7500
Nb 0.7500 0.7500 0.2500
Te 0.2500 0.2500 0.7500
Te 0.2500 0.7500 0.2500
Te 0.7500 0.2500 0.2500
Te 0.7500 0.7500 0.7500

Output
**Calculated total energy**: -6.898 eV/atom
**Size of the total moment**: 0.00 μB/f.u.


Record 7
LuNbTe: relaxed, PBE-GGA.

a b c (Å): 6.7038 6.7038 6.7038
angles (deg): 90.00 90.00 90.00
Fractional coordinates of all 12 atoms:
Lu 0.0000 0.0000 0.0000
Lu 0.0000 0.5000 0.5000
Lu 0.5000 0.0000 0.5000
Lu 0.5000 0.5000 0.0000
Nb 0.0000 0.0000 0.5000
Nb 0.0000 0.5000 0.0000
Nb 0.5000 0.0000 0.0000
Nb 0.5000 0.5000 0.5000
Te 0.2500 0.2500 0.2500
Te 0.2500 0.7500 0.7500
Te 0.7500 0.2500 0.7500
Te 0.7500 0.7500 0.2500

Output
**Calculated total energy**: -5.857 eV/atom
**Size of the total moment**: 0.01 μB/f.u.


Record 8
LuNbTl: relaxed, PBE-GGA.

a b c (Å): 6.8320 6.8320 6.8320
angles (deg): 90.00 90.00 90.00
Fractional coordinates of all 12 atoms:
Lu 0.0000 0.0000 0.0000
Lu 0.0000 0.5000 0.5000
Lu 0.5000 0.0000 0.5000
Lu 0.5000 0.5000 0.0000
Nb 0.0000 0.0000 0.5000
Nb 0.0000 0.5000 0.0000
Nb 0.5000 0.0000 0.0000
Nb 0.5000 0.5000 0.5000
Tl 0.2500 0.2500 0.2500
Tl 0.2500 0.7500 0.7500
Tl 0.7500 0.2500 0.7500
Tl 0.7500 0.7500 0.2500

Output
**Calculated total energy**: -5.036 eV/atom
**Size of the total moment**: 2.07 μB/f.u.


Which formula does entry 1 have? LuNbSn4


Which of these has the lowest size of the total moment? LuNb2Te